one.
Here is LiHPd after structural relaxation from Alexandria via LeMat-Bulk. Energies are from PBE-GGA.

```
LiHPd
1.0
2.753 0.000 0.000
0.000 2.753 0.000
0.000 0.000 4.872
Li H Pd
1 1 1
direct
0.000 0.000 0.000
0.500 0.500 0.500
0.000 0.000 0.500
```

Calculated values
The volume comes out at 36.9 Å³/cell.

***

two.
Here is LiHPd after structural relaxation from Alexandria via LeMat-Bulk. Energies are from PBE-GGA.

```
LiHPd
1.0
-1.425 2.644 4.180
1.425 -2.644 4.180
1.425 2.644 -4.180
Li H Pd
2 2 2
direct
0.246 0.000 0.246
0.754 0.000 0.754
0.143 0.643 0.500
0.857 0.357 0.500
0.269 0.269 0.000
0.731 0.731 0.000
```

Calculated values
The volume comes out at 63.0 Å³/cell.

***

three.
Here is LiHPd after structural relaxation from Alexandria via LeMat-Bulk. Energies are from PBE-GGA.

```
LiHPd
1.0
3.090 0.000 0.000
-1.545 2.676 0.000
0.000 0.000 4.009
Li H Pd
1 1 1
direct
0.000 0.000 0.000
0.333 0.667 0.553
0.667 0.333 0.503
```

Calculated values
The volume comes out at 33.1 Å³/cell.

***

four.
Here is LiHPd after structural relaxation from Alexandria via LeMat-Bulk. Energies are from PBE-GGA.

```
LiHPd
1.0
2.800 0.000 0.000
0.000 2.800 0.000
0.000 0.000 3.912
Li H Pd
1 1 1
direct
0.000 0.000 0.000
0.000 0.000 0.500
0.500 0.500 0.500
```

Calculated values
The volume comes out at 30.7 Å³/cell.

***

Relative energies, unit meV per atom: one 254; two 127; three 36; four 0

***

one.
Here is LiHPd after structural relaxation from Alexandria via LeMat-Bulk. Energies are from PBE-GGA.

```
LiHPd
1.0
4.425 -1.389 0.000
4.425 1.389 0.000
-0.013 0.000 5.359
Li H Pd
2 2 2
direct
0.125 0.125 0.353
0.875 0.875 0.647
0.417 0.417 0.327
0.583 0.583 0.673
0.147 0.147 0.851
0.853 0.853 0.149
```

Calculated values
The volume comes out at 65.9 Å³/cell.

***

two.
Here is LiHPd after structural relaxation from Alexandria via LeMat-Bulk. Energies are from PBE-GGA.

```
LiHPd
1.0
-1.391 1.391 4.373
1.391 -1.391 4.373
1.391 1.391 -4.373
Li H Pd
1 1 1
direct
0.000 0.000 0.000
0.771 0.771 0.000
0.287 0.287 0.000
```

Calculated values
The volume comes out at 33.8 Å³/cell.

***

three.
Here is LiHPd after structural relaxation from Alexandria via LeMat-Bulk. Energies are from PBE-GGA.

```
LiHPd
1.0
0.000 2.467 2.467
2.467 0.000 2.467
2.467 2.467 0.000
Li H Pd
1 1 1
direct
0.000 0.000 0.000
0.750 0.750 0.750
0.500 0.500 0.500
```

Calculated values
The volume comes out at 30.0 Å³/cell.

***

Relative energies, unit meV per atom: one 0; two 29; three 177